Record 1
HfNp3Tl4S8 | GGA-PBE | relaxed

E_tot, eV/cell: -107.925
ρ, g cm⁻³: 7.874
E_form (uncorrected), eV/atom: -1.04

Structure (POSCAR):
```
HfNp3Tl4S8
1.0
3.9625 2.2878 7.6128
-3.9625 2.2878 7.6128
0.0000 -4.5755 7.6128
Hf Np Tl S
1 3 4 8
Direct
0.0000 0.0000 0.0000 Hf
0.0000 0.5000 0.5000 Np
0.5000 0.0000 0.5000 Np
0.5000 0.5000 0.0000 Np
0.0000 0.0000 0.5000 Tl
0.0000 0.5000 0.0000 Tl
0.5000 0.0000 0.0000 Tl
0.5000 0.5000 0.5000 Tl
0.2201 0.2201 0.7501 S
0.2201 0.7501 0.2201 S
0.2499 0.7799 0.7799 S
0.2681 0.2681 0.2681 S
0.7319 0.7319 0.7319 S
0.7501 0.2201 0.2201 S
0.7799 0.2499 0.7799 S
0.7799 0.7799 0.2499 S
```

=====

Record 2
CdIr2F | GGA-PBE | relaxed

E_tot, eV/cell: -17.617
ρ, g cm⁻³: 13.856
E_form (uncorrected), eV/atom: 0.72

Structure (POSCAR):
```
CdIr2F
1.0
0.0000 3.1384 3.1384
3.1384 0.0000 3.1384
3.1384 3.1384 0.0000
Cd Ir F
1 2 1
Direct
0.0000 0.0000 0.0000 Cd
0.2500 0.2500 0.2500 Ir
0.7500 0.7500 0.7500 Ir
0.5000 0.5000 0.5000 F
```

=====

Record 3
Dy3Er2Tm6Zr | GGA-PBE | relaxed

E_tot, eV/cell: -57.815
ρ, g cm⁻³: 9.002
Energy of formation from the pure elements, meV/atom: 41

Structure (POSCAR):
```
Dy3Er2Tm6Zr
1.0
3.0126 -5.2090 0.0000
3.0126 5.2090 0.0000
-1.9986 0.0000 11.3251
Dy Er Tm Zr
3 2 6 1
Direct
0.0000 0.0000 0.0000 Dy
0.3334 0.6666 0.0000 Dy
0.6666 0.3334 0.0000 Dy
0.1670 0.8330 0.5000 Er
0.8330 0.1670 0.5000 Er
0.0921 0.4189 0.2557 Tm
0.2545 0.2545 0.7437 Tm
0.4189 0.0921 0.2557 Tm
0.5811 0.9079 0.7443 Tm
0.7455 0.7455 0.2563 Tm
0.9079 0.5811 0.7443 Tm
0.5000 0.5000 0.5000 Zr
```

=====

Record 4
SnPtNO2 | GGA-PBE | relaxed

E_tot, eV/cell: -22.788
ρ, g cm⁻³: 9.156
E_form (uncorrected), eV/atom: 1.10

Structure (POSCAR):
```
SnPtNO2
1.0
3.9950 0.0000 0.0000
0.0000 3.9950 0.0000
0.0000 0.0000 4.0886
Sn Pt N O
1 1 1 2
Direct
0.0000 0.0000 0.0000 Sn
0.5000 0.5000 0.0000 Pt
0.0000 0.0000 0.5000 N
0.0000 0.5000 0.5000 O
0.5000 0.0000 0.5000 O
```

=====

Record 5
ZrRu3Br | GGA-PBE | relaxed

E_tot, eV/cell: -29.360
ρ, g cm⁻³: 6.569
E_form (uncorrected), eV/atom: 1.74

Structure (POSCAR):
```
ZrRu3Br
1.0
4.9311 0.0000 0.0000
0.0000 4.9311 0.0000
0.0000 0.0000 4.9311
Zr Ru Br
1 3 1
Direct
0.0000 0.0000 0.0000 Zr
0.0000 0.0000 0.5000 Ru
0.0000 0.5000 0.0000 Ru
0.5000 0.0000 0.0000 Ru
0.5000 0.5000 0.5000 Br
```

=====

Record 6
UTl2AuS4 | GGA-PBE | relaxed

E_tot, eV/cell: -39.442
ρ, g cm⁻³: 7.460
E_form (uncorrected), eV/atom: -0.45

Structure (POSCAR):
```
UTl2AuS4
1.0
-3.7502 3.7502 3.8460
3.7502 -3.7502 3.8460
3.7502 3.7502 -3.8460
U Tl Au S
1 2 1 4
Direct
0.0000 0.0000 0.0000 U
0.5000 0.5000 0.0000 Tl
0.7500 0.2500 0.5000 Tl
0.2500 0.7500 0.5000 Au
0.0959 0.6698 0.0574 S
0.3302 0.3876 0.4261 S
0.6124 0.0384 0.9426 S
0.9616 0.9041 0.5739 S
```

=====

Record 7
P5Cl3 | GGA-PBE | relaxed

E_tot, eV/cell: -28.112
ρ, g cm⁻³: 2.658
E_form (uncorrected), eV/atom: 0.56

Structure (POSCAR):
```
P5Cl3
1.0
3.5776 -3.7441 0.0000
3.5776 3.7441 0.0000
0.0000 0.0000 6.0926
P Cl
5 3
Direct
0.0000 0.0000 0.0000 P
0.0000 0.5000 0.0000 P
0.1411 0.1411 0.5000 P
0.5000 0.0000 0.0000 P
0.8589 0.8589 0.5000 P
0.2916 0.7084 0.5000 Cl
0.5000 0.5000 0.0000 Cl
0.7084 0.2916 0.5000 Cl
```

=====

Record 8
Mn3GaN | GGA-PBE | relaxed

E_tot, eV/cell: -40.301
ρ, g cm⁻³: 7.650
E_form (uncorrected), eV/atom: -0.29

Structure (POSCAR):
```
Mn3GaN
1.0
3.7787 0.0000 0.0000
0.0000 3.7787 0.0000
0.0000 0.0000 3.7787
Mn Ga N
3 1 1
Direct
0.0000 0.0000 0.5000 Mn
0.0000 0.5000 0.0000 Mn
0.5000 0.0000 0.0000 Mn
0.5000 0.5000 0.5000 Ga
0.0000 0.0000 0.0000 N
```

=====

For the records above, the corresponding DOS at the Fermi energy values read 29.82 5.92 15.43 3.06 5.56 5.84 4.02 3.88 states/eV per cell.